No. 1
# BeTlSi2Rh

A relaxed BeTlSi2Rh crystal (GGA-PBE, Alexandria via LeMat-Bulk).

Values from the calculation:
D(E_F) = 2.4 states/eV/cell
V = 111.9 Å³ per cell
Mass density = 5.53 Mg/m³
Total energy = -3.17 eV/atom

a b c (Å): 5.091 4.318 5.091
angles (deg): 90.00 90.00 90.00
Fractional positions:
Tl: 0.000 0.000 0.000
Rh: 0.500 0.500 0.500
Si: 0.000 0.000 0.500
Si: 0.500 0.000 0.000
Be: 0.000 0.500 0.000

***

No. 2
# K2MgS2

A relaxed K2MgS2 crystal (GGA-PBE, Alexandria via LeMat-Bulk).

Values from the calculation:
D(E_F) = 0.0 states/eV/cell
V = 259.1 Å³ per cell
Mass density = 2.14 Mg/m³
Total energy = -3.29 eV/atom

a b c (Å): 7.405 7.405 4.726
angles (deg): 90.00 90.00 90.00
Fractional positions:
Mg: 0.000 0.000 0.000
Mg: 0.500 0.500 0.000
K: 0.363 0.137 0.500
K: 0.137 0.637 0.500
K: 0.637 0.863 0.500
K: 0.863 0.363 0.500
S: 0.316 0.816 0.000
S: 0.816 0.684 0.000
S: 0.184 0.316 0.000
S: 0.684 0.184 0.000

***

No. 3
# Nd4Sm2Ho

A relaxed Nd4Sm2Ho crystal (GGA-PBE, Alexandria via LeMat-Bulk).

Values from the calculation:
D(E_F) = 11.2 states/eV/cell
V = 244.8 Å³ per cell
Mass density = 7.07 Mg/m³
E above lowest polymorph = 254 meV/atom
Total energy = -4.29 eV/atom

a b c (Å): 6.032 6.177 7.261
angles (deg): 115.17 90.00 90.00
Fractional positions:
Nd: 0.000 0.191 0.382
Nd: 0.500 0.637 0.275
Nd: 0.000 0.809 0.618
Nd: 0.500 0.363 0.725
Ho: 0.000 0.500 0.000
Sm: 0.500 0.110 0.219
Sm: 0.500 0.890 0.781

***

No. 4
# FeAsRu

A relaxed FeAsRu crystal (GGA-PBE, Alexandria via LeMat-Bulk).

Values from the calculation:
D(E_F) = 2.7 states/eV/cell
V = 42.0 Å³ per cell
Mass density = 9.18 Mg/m³
Total energy = -7.35 eV/atom

a b c (Å): 4.506 4.506 4.506
angles (deg): 141.73 131.46 63.44
Fractional positions:
Fe: 0.329 0.329 0.000
As: 0.003 0.003 0.000
Ru: 0.668 0.668 0.000

***

No. 5
# AgPH

A relaxed AgPH crystal (GGA-PBE, Alexandria via LeMat-Bulk).

Values from the calculation:
D(E_F) = 0.3 states/eV/cell
V = 50.5 Å³ per cell
Mass density = 4.60 Mg/m³
E above lowest polymorph = 82 meV/atom
Total energy = -3.71 eV/atom

a b c (Å): 3.014 4.227 4.692
angles (deg): 115.80 108.18 90.00
Fractional positions:
H: 0.715 0.806 0.709
Ag: 0.018 0.110 0.301
P: 0.538 0.631 0.344

***

No. 6
# Ga2IrIN

A relaxed Ga2IrIN crystal (GGA-PBE, Alexandria via LeMat-Bulk).

Values from the calculation:
D(E_F) = 2.5 states/eV/cell
V = 85.4 Å³ per cell
Mass density = 9.19 Mg/m³
Total energy = -4.03 eV/atom

a b c (Å): 4.082 5.125 4.082
angles (deg): 90.00 90.00 90.00
Fractional positions:
Ir: 0.500 0.500 0.500
Ga: 0.500 0.000 0.000
Ga: 0.000 0.000 0.500
N: 0.000 0.000 0.000
I: 0.000 0.500 0.000